DFT (PBE) results for a relaxed AsRh2 crystal.

Results
- Formation energy: -50 meV/atom
- Size of the total moment: 0.00 μB per cell

Lattice parameters (Å, degrees): 2.892 14.136 4.330 90.00 90.00 90.00
Atoms (fractional coordinates):
As1 0.000 0.116 0.250
As2 0.000 0.884 0.750
As3 0.500 0.384 0.750
As4 0.500 0.616 0.250
Rh1 0.000 0.226 0.750
Rh2 0.000 0.442 0.250
Rh3 0.000 0.558 0.750
Rh4 0.000 0.774 0.250
Rh5 0.500 0.058 0.750
Rh6 0.500 0.274 0.250
Rh7 0.500 0.726 0.750
Rh8 0.500 0.942 0.250

DFT (PBE) results for a relaxed As5Rh crystal.

Results
- Formation energy: 293 meV/atom
- Size of the total moment: 0.00 μB per cell

Lattice parameters (Å, degrees): 5.185 5.185 4.753 90.00 90.00 120.00
Atoms (fractional coordinates):
As1 0.000 0.715 0.000
As2 0.285 0.285 0.000
As3 0.333 0.667 0.500
As4 0.667 0.333 0.500
As5 0.715 0.000 0.000
Rh1 0.000 0.000 0.500

DFT (PBE) results for a relaxed As2Rh crystal.

Results
- Formation energy: -20 meV/atom
- Size of the total moment: 0.00 μB per cell

Lattice parameters (Å, degrees): 3.516 12.239 4.751 90.00 90.00 90.00
Atoms (fractional coordinates):
As1 0.000 0.047 0.250
As2 0.000 0.269 0.750
As3 0.000 0.731 0.250
As4 0.000 0.953 0.750
As5 0.500 0.231 0.250
As6 0.500 0.453 0.750
As7 0.500 0.547 0.250
As8 0.500 0.769 0.750
Rh1 0.000 0.380 0.250
Rh2 0.000 0.620 0.750
Rh3 0.500 0.120 0.750
Rh4 0.500 0.880 0.250

DFT (PBE) results for a relaxed As2Rh crystal.

Results
- Formation energy: -179 meV/atom
- Size of the total moment: 0.00 μB per cell

Lattice parameters (Å, degrees): 3.418 3.418 5.215 90.00 90.00 120.00
Atoms (fractional coordinates):
As1 0.333 0.667 0.300
As2 0.667 0.333 0.700
Rh1 0.000 0.000 0.000

DFT (PBE) results for a relaxed AsRh2 crystal.

Results
- Formation energy: -470 meV/atom
- Size of the total moment: 0.00 μB per cell

Lattice parameters (Å, degrees): 5.746 5.746 5.746 90.00 90.00 90.00
Atoms (fractional coordinates):
As1 0.000 0.000 0.000
As2 0.000 0.500 0.500
As3 0.500 0.000 0.500
As4 0.500 0.500 0.000
Rh1 0.250 0.250 0.250
Rh2 0.250 0.250 0.750
Rh3 0.250 0.750 0.250
Rh4 0.250 0.750 0.750
Rh5 0.750 0.250 0.250
Rh6 0.750 0.250 0.750
Rh7 0.750 0.750 0.250
Rh8 0.750 0.750 0.750

DFT (PBE) results for a relaxed As4Rh crystal.

Results
- Formation energy: -257 meV/atom
- Size of the total moment: 0.00 μB per cell

Lattice parameters (Å, degrees): 5.229 5.197 7.340 90.00 101.07 90.00
Atoms (fractional coordinates):
As1 0.134 0.169 0.428
As2 0.134 0.331 0.928
As3 0.293 0.685 0.753
As4 0.293 0.815 0.253
As5 0.707 0.185 0.747
As6 0.707 0.315 0.247
As7 0.866 0.669 0.072
As8 0.866 0.831 0.572
Rh1 0.500 0.000 0.000
Rh2 0.500 0.500 0.500

DFT (PBE) results for a relaxed As3Rh2 crystal.

Results
- Formation energy: -182 meV/atom
- Size of the total moment: 0.00 μB per cell

Lattice parameters (Å, degrees): 3.282 3.282 27.885 90.00 90.00 120.00
Atoms (fractional coordinates):
As1 0.000 0.000 0.000
As2 0.000 0.000 0.208
As3 0.000 0.000 0.792
As4 0.333 0.667 0.458
As5 0.333 0.667 0.667
As6 0.333 0.667 0.875
As7 0.667 0.333 0.125
As8 0.667 0.333 0.333
As9 0.667 0.333 0.542
Rh1 0.000 0.000 0.405
Rh2 0.000 0.000 0.595
Rh3 0.333 0.667 0.071
Rh4 0.333 0.667 0.262
Rh5 0.667 0.333 0.738
Rh6 0.667 0.333 0.929

DFT (PBE) results for a relaxed As3Rh4 crystal.

Results
- Formation energy: 479 meV/atom
- Size of the total moment: 0.00 μB per cell

Lattice parameters (Å, degrees): 5.292 5.292 4.714 90.00 90.00 120.00
Atoms (fractional coordinates):
As1 0.000 0.500 0.000
As2 0.500 0.000 0.000
As3 0.500 0.500 0.000
Rh1 0.000 0.000 0.257
Rh2 0.000 0.000 0.743
Rh3 0.333 0.667 0.500
Rh4 0.667 0.333 0.500

DFT (PBE) results for a relaxed AsRh2 crystal.

Results
- Formation energy: -229 meV/atom
- Size of the total moment: 0.00 μB per cell

Lattice parameters (Å, degrees): 10.869 2.997 5.593 90.00 99.51 90.00
Atoms (fractional coordinates):
As1 0.000 0.000 0.000
As2 0.201 0.500 0.432
As3 0.500 0.500 0.000
As4 0.701 0.000 0.432
Rh1 0.013 0.000 0.441
Rh2 0.153 0.500 0.851
Rh3 0.314 0.000 0.196
Rh4 0.365 0.000 0.718
Rh5 0.513 0.500 0.441
Rh6 0.653 0.000 0.851
Rh7 0.814 0.500 0.196
Rh8 0.865 0.500 0.718

DFT (PBE) results for a relaxed As2Rh crystal.

Results
- Formation energy: -168 meV/atom
- Size of the total moment: 0.00 μB per cell

Lattice parameters (Å, degrees): 6.951 3.800 8.011 90.00 90.00 90.00
Atoms (fractional coordinates):
As1 0.011 0.250 0.142
As2 0.116 0.750 0.389
As3 0.384 0.250 0.889
As4 0.489 0.750 0.642
As5 0.511 0.250 0.358
As6 0.616 0.750 0.111
As7 0.884 0.250 0.611
As8 0.989 0.750 0.858
Rh1 0.245 0.750 0.078
Rh2 0.255 0.250 0.578
Rh3 0.745 0.750 0.422
Rh4 0.755 0.250 0.922

DFT (PBE) results for a relaxed AsRh8 crystal.

Results
- Formation energy: 9 meV/atom
- Size of the total moment: 0.01 μB per cell

Lattice parameters (Å, degrees): 6.071 6.071 6.071 95.90 95.90 142.59
Atoms (fractional coordinates):
As1 0.000 0.000 0.000
Rh1 0.000 0.333 0.333
Rh2 0.000 0.667 0.667
Rh3 0.332 0.332 0.665
Rh4 0.332 0.668 0.000
Rh5 0.333 0.000 0.333
Rh6 0.667 0.000 0.667
Rh7 0.668 0.332 0.000
Rh8 0.668 0.668 0.335

DFT (PBE) results for a relaxed As2Rh crystal.

Results
- Formation energy: 21 meV/atom
- Size of the total moment: 0.00 μB per cell

Lattice parameters (Å, degrees): 16.551 16.551 16.551 167.32 167.32 17.97
Atoms (fractional coordinates):
As1 0.095 0.345 0.750
As2 0.289 0.539 0.750
As3 0.345 0.095 0.250
As4 0.461 0.711 0.750
As5 0.539 0.289 0.250
As6 0.655 0.905 0.750
As7 0.711 0.461 0.250
As8 0.905 0.655 0.250
Rh1 0.036 0.786 0.250
Rh2 0.214 0.964 0.250
Rh3 0.786 0.036 0.750
Rh4 0.964 0.214 0.750